DFT (PBE) results for an optimized crystal structure of CaAgP.

abc: 4.2907 4.2907 4.0809
angles: 90.00 90.00 120.00
Sites, in units of the cell vectors:
Ca 0.0000 0.0000 0.0000
Ag 0.3333 0.6667 0.5000
P 0.6667 0.3333 0.5000

Computed properties:
* calculated volume: 21.69 Å³/atom
* mass density: 4.566 g cm⁻³
* E_tot: -4.09 eV/atom